No. 1
# Lu5Co4Si14, optimized geometry, DFT PBE
data_Lu5Co4Si14
_cell_length_a 12.225
_cell_length_b 7.734
_cell_length_c 7.674
_cell_angle_alpha 90.00
_cell_angle_beta 98.88
_cell_angle_gamma 90.00
_space_group_name_H-M_alt 'P 1'
_space_group_IT_number 1
loop_
_space_group_symop_operation_xyz
'x,y,z'
loop_
_atom_site_label
_atom_site_type_symbol
_atom_site_fract_x
_atom_site_fract_y
_atom_site_fract_z
Lu1 Lu 0.000 0.000 0.000
Lu2 Lu 0.000 0.500 0.500
Lu3 Lu 0.365 0.248 0.342
Lu4 Lu 0.365 0.252 0.842
Lu5 Lu 0.366 0.749 0.340
Lu6 Lu 0.366 0.751 0.840
Lu7 Lu 0.634 0.249 0.160
Lu8 Lu 0.634 0.251 0.660
Lu9 Lu 0.635 0.748 0.158
Lu10 Lu 0.635 0.752 0.658
Co1 Co 0.000 0.126 0.627
Co2 Co 0.000 0.374 0.127
Co3 Co 0.000 0.626 0.873
Co4 Co 0.000 0.874 0.373
Co5 Co 0.250 0.000 0.061
Co6 Co 0.250 0.500 0.561
Co7 Co 0.750 0.000 0.939
Co8 Co 0.750 0.500 0.439
Si1 Si 0.000 0.167 0.334
Si2 Si 0.000 0.333 0.834
Si3 Si 0.000 0.667 0.166
Si4 Si 0.000 0.833 0.666
Si5 Si 0.178 0.226 0.550
Si6 Si 0.178 0.274 0.050
Si7 Si 0.178 0.726 0.039
Si8 Si 0.178 0.774 0.539
Si9 Si 0.179 0.005 0.769
Si10 Si 0.179 0.495 0.269
Si11 Si 0.179 0.506 0.818
Si12 Si 0.179 0.994 0.318
Si13 Si 0.439 0.000 0.611
Si14 Si 0.439 0.500 0.111
Si15 Si 0.440 0.000 0.110
Si16 Si 0.440 0.500 0.610
Si17 Si 0.560 0.000 0.890
Si18 Si 0.560 0.500 0.390
Si19 Si 0.561 0.000 0.389
Si20 Si 0.561 0.500 0.889
Si21 Si 0.821 0.006 0.682
Si22 Si 0.821 0.494 0.182
Si23 Si 0.821 0.505 0.731
Si24 Si 0.821 0.995 0.231
Si25 Si 0.822 0.226 0.461
Si26 Si 0.822 0.274 0.961
Si27 Si 0.822 0.726 0.950
Si28 Si 0.822 0.774 0.450
# size of the total moment	0.571	μB/cell
# space group	P2_1/c, No. 14
# E	-283.65	eV per cell

No. 2
# LuTaCoSi, optimized geometry, DFT PBE
data_LuTaCoSi
_cell_length_a 4.483
_cell_length_b 4.483
_cell_length_c 4.483
_cell_angle_alpha 60.00
_cell_angle_beta 60.00
_cell_angle_gamma 60.00
_space_group_name_H-M_alt 'P 1'
_space_group_IT_number 1
loop_
_space_group_symop_operation_xyz
'x,y,z'
loop_
_atom_site_label
_atom_site_type_symbol
_atom_site_fract_x
_atom_site_fract_y
_atom_site_fract_z
Lu1 Lu 0.000 0.000 0.000
Ta1 Ta 0.250 0.250 0.250
Co1 Co 0.750 0.750 0.750
Si1 Si 0.500 0.500 0.500
# size of the total moment	1.440	μB/cell
# relative energy among the computed polymorphs	0.000	eV per atom
# space group	F-43m, No. 216
# E	-28.07	eV per cell